Rb10HgAu4 | PBE | optimized geometry

The structure in extended XYZ format:
```
15
Lattice="5.184 -2.996 0.000 5.184 2.996 0.000 -3.421 0.000 24.710" Properties=species:S:1:pos:R:3 pbc="T T T"
Rb 0.002 0.000 3.599
Rb 0.017 0.000 10.907
Rb 0.024 0.000 18.661
Rb 3.457 0.000 1.209
Rb 3.470 0.000 8.422
Rb 3.478 0.000 16.288
Rb 3.491 0.000 23.501
Rb 6.924 0.000 6.049
Rb 6.931 0.000 13.803
Rb 6.946 0.000 21.111
Hg 3.474 0.000 12.355
Au 0.014 0.000 7.175
Au 0.036 0.000 22.294
Au 6.912 0.000 2.416
Au 6.934 0.000 17.535
```

The theoretical density comes out at 3.99 Mg/m³. Its size of the total moment is 1.95 μB per cell. As for the symmetry: No. 12. For the electronic total energy, the calculation gives -25.5 eV/f.u.